# 1
# Na3Mg4Sn4

A relaxed Na3Mg4Sn4 crystal (PBE-GGA, Alexandria).

Cell lengths 4.7126, 8.0699, 9.1698 Å; angles 116.11, 104.89, 90.00 degrees
Closest atoms and distances in Å follow each position.
Element x y z (fractional)
Na (0.1210, 0.1210, 0.2421)  6 Sn 3.37-3.48, 6 Mg 3.48-3.61
Na (0.8790, 0.8790, 0.7579)  6 Sn 3.37-3.48, 6 Mg 3.48-3.61
Na (0.0000, 0.5000, 0.0000)  6 Sn 3.42-3.49
Mg (0.3260, 0.1258, 0.6519)  4 Sn 2.91-2.97, 1 Mg 3.23
Mg (0.6740, 0.4739, 0.3481)  4 Sn 2.91-2.97, 1 Mg 3.23
Mg (0.6740, 0.8742, 0.3481)  4 Sn 2.91-2.97, 1 Mg 3.23
Mg (0.3260, 0.5261, 0.6519)  4 Sn 2.91-2.97, 1 Mg 3.23
Sn (0.2168, 0.7168, 0.4335)  6 Mg 2.94-2.97
Sn (0.7832, 0.2832, 0.5665)  6 Mg 2.94-2.97
Sn (0.5000, 0.8192, 0.0000)  2 Mg 2.91, 1 Sn 2.92
Sn (0.5000, 0.1808, 0.0000)  2 Mg 2.91, 1 Sn 2.92



# 2
# PrNdSmHo

A relaxed PrNdSmHo crystal (PBE-GGA, Alexandria).

Cell lengths 5.7795, 5.7795, 5.7795 Å; angles 60.00, 60.00, 60.00 degrees
Closest atoms and distances in Å follow each position.
Element x y z (fractional)
Pr (0.7500, 0.7500, 0.7500)  4 Ho 3.54, 4 Sm 3.54
Nd (0.2500, 0.2500, 0.2500)  4 Ho 3.54, 4 Sm 3.54
Ho (0.0000, 0.0000, 0.0000)  4 Pr 3.54, 4 Nd 3.54
Sm (0.5000, 0.5000, 0.5000)  4 Nd 3.54, 4 Pr 3.54



Number 1: total magnetization 0.00 μB/atom, energy of formation from the pure elements -1.94 eV/f.u.. Number 2: total magnetization 0.00 μB/atom, energy of formation from the pure elements 0.49 eV/f.u..